# 1
3
Lattice="-4.003 -0.496 1.331 1.426 -1.761 3.632 1.393 3.853 -1.201" Properties=species:S:1:pos:R:3 comment="Ti2Tc, relaxed, DFT PBE" total_magnetization_mub_per_atom=0.00 space_group="R-3m, No. 166" formation_enthalpy_0k_ev_per_atom=0.0908 density_g_cm3=5.873 final_energy_ry_per_atom=-0.63413 pbc="T T T"
Ti -1.949 1.115 1.306
Ti 0.765 0.482 2.456
Tc 0.000 0.000 0.000


# 2
8
Lattice="-2.903 -1.014 -0.430 1.492 -3.331 -2.215 0.561 -4.874 7.705" Properties=species:S:1:pos:R:3 comment="TiTc, relaxed, DFT PBE" total_magnetization_mub_per_atom=0.00 space_group="Imma, No. 74" formation_enthalpy_0k_ev_per_atom=-0.4789 density_g_cm3=8.002 final_energy_ry_per_atom=-0.70628 pbc="T T T"
Tc 0.727 -3.908 4.308
Tc 1.326 -4.297 1.182
Tc -0.259 -3.643 -0.868
Tc -0.591 -5.575 5.927
Ti 0.439 -1.406 0.353
Ti 1.614 -6.798 5.137
Ti 0.014 -6.015 2.883
Ti -0.864 -3.203 2.177


# 3
8
Lattice="5.544 0.000 0.000 0.000 5.544 0.000 0.000 0.000 5.544" Properties=species:S:1:pos:R:3 comment="TiTc, relaxed, DFT PBE" total_magnetization_mub_per_atom=0.00 space_group="F-43m, No. 216" formation_enthalpy_0k_ev_per_atom=1.6376 density_g_cm3=5.686 final_energy_ry_per_atom=-0.55072 pbc="T T T"
Ti 1.386 1.386 1.386
Ti 1.386 4.158 4.158
Ti 4.158 1.386 4.158
Ti 4.158 4.158 1.386
Tc 0.000 0.000 0.000
Tc 0.000 2.772 2.772
Tc 2.772 0.000 2.772
Tc 2.772 2.772 0.000


# 4
3
Lattice="-0.972 -2.763 -0.990 1.343 -1.346 2.438 -4.127 2.562 1.727" Properties=species:S:1:pos:R:3 comment="TiTc2, relaxed, DFT PBE" total_magnetization_mub_per_atom=0.00 space_group="I4/mmm, No. 139" formation_enthalpy_0k_ev_per_atom=-0.3465 density_g_cm3=9.074 final_energy_ry_per_atom=-0.72681 pbc="T T T"
Tc -1.133 -1.884 1.544
Tc -2.623 0.338 1.631
Ti 0.000 0.000 0.000